NbTc2W2: relaxed, GGA-PBE.

Values from the calculation:
* ΔH_f (0 K): 0.24 eV per atom
* D(E_F): 4.204 states/eV per cell
* V: 16.58 Å³ per atom
* energy: -11.1030 eV/atom

a b c (Å): 7.507 7.507 2.943
angles (deg): 90.00 90.00 90.00
Space group P4/mbm (No. 127)
Unique sites:
Nb  0.000  0.000  0.000 x2
Tc  0.151  0.349  0.500 x4
W  0.148  0.648  0.000 x4